! PrGa2MoO8 (GGA+U, relaxed); values from VASP
! calculated density = 5682 kg/m3
! electronic total energy = -79.4 eV for the cell shown
&SYSTEM
  ibrav = 0, nat = 12, ntyp = 4
/
ATOMIC_SPECIES
O 16.00 O.upf
Ga 69.72 Ga.upf
Mo 95.94 Mo.upf
Pr 140.91 Pr.upf
ATOMIC_POSITIONS angstrom
O 1.422 1.408 6.641
O 3.155 3.131 3.319
O 3.354 3.327 -0.004
O 1.007 3.759 5.262
O 1.004 3.755 1.374
O 3.772 0.980 5.263
O 1.622 1.605 3.318
O 3.769 0.976 1.375
Ga 2.390 2.370 5.112
Ga 2.386 2.365 1.524
Mo 0.000 0.000 0.000
Pr 0.002 0.004 3.322
CELL_PARAMETERS angstrom
4.711 0.019 -0.003
0.060 4.709 -0.004
0.005 0.008 6.644